No. 1
The following is a PBE-GGA calculation of a relaxed structure of SrCBr, from Alexandria via LeMat-Bulk.

a b c (Å): 7.1306 6.5708 7.3094
angles (deg): 90.00 96.69 90.00
Element x y z (fractional)
Sr (0.2395, 0.0832, 0.2352)
Sr (0.2395, 0.4168, 0.7352)
Sr (0.7605, 0.5832, 0.2648)
Sr (0.7605, 0.9168, 0.7648)
C (0.0348, 0.0838, 0.5309)
C (0.0348, 0.4162, 0.0309)
C (0.9652, 0.5838, 0.9691)
C (0.9652, 0.9162, 0.4691)
Br (0.4360, 0.7425, 0.4906)
Br (0.4360, 0.7575, 0.9906)
Br (0.5640, 0.2425, 0.0094)
Br (0.5640, 0.2575, 0.5094)

Output
The uncorrected formation energy is -835.0 meV per atom. Its space group is P2_1/c (14). The magnetization is 0.00 μB per formula unit.

No. 2
The following is a PBE-GGA calculation of a relaxed structure of TaC2Br, from Alexandria via LeMat-Bulk.

a b c (Å): 6.3632 6.3632 6.3632
angles (deg): 129.48 129.48 74.24
Element x y z (fractional)
Ta (0.0000, 0.0000, 0.0000)
Ta (0.7500, 0.2500, 0.5000)
C (0.0301, 0.6250, 0.9051)
C (0.3750, 0.2801, 0.4051)
C (0.7199, 0.1250, 0.0949)
C (0.8750, 0.9699, 0.5949)
Br (0.2500, 0.7500, 0.5000)
Br (0.5000, 0.5000, 0.0000)

Output
For the distance to the lowest polymorph of the same formula, the calculation gives 0 meV per atom. The uncorrected formation energy is 1439.8 meV per atom. Its space group is I-42d (122). The magnetization is 0.00 μB per formula unit.

No. 3
The following is a PBE-GGA calculation of a relaxed structure of TaC2Br, from Alexandria via LeMat-Bulk.

a b c (Å): 4.1023 4.1023 4.1023
angles (deg): 60.00 60.00 60.00
Element x y z (fractional)
Ta (0.0000, 0.0000, 0.0000)
C (0.2500, 0.2500, 0.2500)
C (0.7500, 0.7500, 0.7500)
Br (0.5000, 0.5000, 0.5000)

Output
For the distance to the lowest polymorph of the same formula, the calculation gives 900 meV per atom. The uncorrected formation energy is 2339.6 meV per atom. Its space group is Fm-3m (225). The magnetization is 0.00 μB per formula unit.

Q: Which value of magnetization does entry 1 give?
A: 0.00 μB per formula unit

Q: What is the formula in the first record?
A: SrCBr

Q: Look up the magnetization of the second one.
A: 0.00 μB per formula unit

Q: Which formula does entry 2 have?
A: TaC2Br